(one)
This record from Alexandria via LeMat-Bulk describes CsCa2Si2 after structural relaxation. The functional is PBE-GGA.

Unit cell a=9.323 b=9.323 c=3.296 alpha=90.00 beta=90.00 gamma=90.00
Space group P4/mbm (No. 127)
Asymmetric unit:
1 Cs 0.000 0.000 0.000 x2
2 Ca 0.129 0.371 0.000 x4
3 Si 0.165 0.665 0.500 x4

Output
- spin magnetization (μB/f.u.) = 0.000

=====

(two)
This record from Alexandria via LeMat-Bulk describes CsCa2Si2 after structural relaxation. The functional is PBE-GGA.

Unit cell a=8.677 b=8.677 c=4.215 alpha=90.00 beta=90.00 gamma=90.00
Space group P4/mbm (No. 127)
Asymmetric unit:
1 Cs 0.000 0.000 0.000 x2
2 Ca 0.156 0.344 0.500 x4
3 Si 0.099 0.599 0.000 x4

Output
- spin magnetization (μB/f.u.) = 0.000

=====

Order of stability, best first: (one), (two)

=====

(one)
This record from Alexandria via LeMat-Bulk describes CsCaSi after structural relaxation. The functional is PBE-GGA.

Unit cell a=7.168 b=9.292 c=7.682 alpha=90.00 beta=102.35 gamma=90.00
Space group C2/m (No. 12)
Asymmetric unit:
1 Cs 0.233 0.000 0.437 x4
2 Ca 0.000 0.296 0.000 x4
3 Si 0.154 0.000 0.951 x4

Output
- spin magnetization (μB/f.u.) = 0.000

=====

(two)
This record from Alexandria via LeMat-Bulk describes CsCaSi after structural relaxation. The functional is PBE-GGA.

Unit cell a=4.487 b=5.596 c=12.781 alpha=88.29 beta=80.43 gamma=66.37
Space group P-1 (No. 2)
Asymmetric unit:
1 Cs 0.022 0.251 0.188 x2
2 Ca 0.179 0.712 0.426 x2
3 Si 0.487 0.106 0.416 x2

Output
- spin magnetization (μB/f.u.) = 0.000

=====

(three)
This record from Alexandria via LeMat-Bulk describes CsCaSi after structural relaxation. The functional is PBE-GGA.

Unit cell a=4.056 b=5.484 c=14.580 alpha=93.59 beta=95.94 gamma=111.71
Space group P1 (No. 1)
Asymmetric unit:
1 Cs 0.000 0.000 0.000 x1
2 Cs 0.446 0.386 0.667 x1
3 Ca 0.580 0.850 0.416 x1
4 Ca 0.811 0.446 0.237 x1
5 Si 0.123 0.034 0.286 x1
6 Si 0.506 0.864 0.198 x1

Output
- spin magnetization (μB/f.u.) = 0.000

=====

(four)
This record from Alexandria via LeMat-Bulk describes CsCaSi after structural relaxation. The functional is PBE-GGA.

Unit cell a=9.032 b=6.946 c=10.762 alpha=90.00 beta=96.92 gamma=90.00
Space group Cm (No. 8)
Asymmetric unit:
1 Cs 0.000 0.000 0.000 x2
2 Cs 0.082 0.500 0.387 x2
3 Ca 0.409 0.000 0.737 x2
4 Ca 0.498 0.500 0.650 x2
5 Si 0.209 0.332 0.722 x4

Output
- spin magnetization (μB/f.u.) = 0.000

=====

Order of stability, best first: (two), (three), (four), (one)

=====

(one)
This record from Alexandria via LeMat-Bulk describes CsCaSi after structural relaxation. The functional is PBE-GGA.

Unit cell a=4.358 b=7.816 c=8.659 alpha=114.99 beta=104.52 gamma=90.12
Space group P-1 (No. 2)
Asymmetric unit:
1 Cs 0.223 0.228 0.446 x2
2 Ca 0.497 0.275 0.995 x2
3 Si 0.079 0.572 0.159 x2

Output
- spin magnetization (μB/f.u.) = 0.371

=====

(two)
This record from Alexandria via LeMat-Bulk describes CsCaSi after structural relaxation. The functional is PBE-GGA.

Unit cell a=8.777 b=5.070 c=13.110 alpha=90.00 beta=103.67 gamma=90.00
Space group Cm (No. 8)
Asymmetric unit:
1 Cs 0.000 0.000 0.000 x2
2 Cs 0.211 0.000 0.595 x2
3 Ca 0.110 0.000 0.311 x2
4 Ca 0.432 0.000 0.277 x2
5 Si 0.237 0.500 0.199 x2
6 Si 0.305 0.500 0.391 x2

Output
- spin magnetization (μB/f.u.) = 0.000

=====

Order of stability, best first: (two), (one)

=====

(one)
This record from Alexandria via LeMat-Bulk describes CsCa2Sn2 after structural relaxation. The functional is PBE-GGA.

Unit cell a=5.736 b=5.736 c=13.351 alpha=90.00 beta=90.00 gamma=90.00
Space group I4/mmm (No. 139)
Asymmetric unit:
1 Cs 0.000 0.000 0.000 x2
2 Ca 0.000 0.000 0.344 x4
3 Sn 0.000 0.500 0.250 x4

Output
- spin magnetization (μB/f.u.) = 0.000

=====

(two)
This record from Alexandria via LeMat-Bulk describes CsCa2Sn2 after structural relaxation. The functional is PBE-GGA.

Unit cell a=9.903 b=9.903 c=3.475 alpha=90.00 beta=90.00 gamma=90.00
Space group P4/mbm (No. 127)
Asymmetric unit:
1 Cs 0.000 0.000 0.000 x2
2 Ca 0.127 0.373 0.000 x4
3 Sn 0.167 0.667 0.500 x4

Output
- spin magnetization (μB/f.u.) = 0.000

=====

(three)
This record from Alexandria via LeMat-Bulk describes CsCa2Sn2 after structural relaxation. The functional is PBE-GGA.

Unit cell a=5.735 b=5.735 c=12.036 alpha=90.00 beta=90.00 gamma=90.00
Space group I4/mmm (No. 139)
Asymmetric unit:
1 Cs 0.000 0.000 0.000 x2
2 Ca 0.000 0.500 0.250 x4
3 Sn 0.000 0.000 0.381 x4

Output
- spin magnetization (μB/f.u.) = 0.000

=====

Order of stability, best first: (two), (three), (one)

=====

(one)
This record from Alexandria via LeMat-Bulk describes CsCa3Sn after structural relaxation. The functional is PBE-GGA.

Unit cell a=6.247 b=6.247 c=6.247 alpha=90.00 beta=90.00 gamma=90.00
Space group Pm-3m (No. 221)
Asymmetric unit:
1 Cs 0.000 0.000 0.000 x1
2 Ca 0.000 0.500 0.500 x3
3 Sn 0.500 0.500 0.500 x1

Output
- spin magnetization (μB/f.u.) = 0.928

=====

(two)
This record from Alexandria via LeMat-Bulk describes CsCa3Sn after structural relaxation. The functional is PBE-GGA.

Unit cell a=5.771 b=5.771 c=5.771 alpha=90.00 beta=90.00 gamma=90.00
Space group Pm-3m (No. 221)
Asymmetric unit:
1 Cs 0.000 0.000 0.000 x1
2 Ca 0.000 0.000 0.500 x3
3 Sn 0.500 0.500 0.500 x1

Output
- spin magnetization (μB/f.u.) = 0.000

=====

Order of stability, best first: (one), (two)